No. 1
Hf3SiC: relaxed, PBE.

For the density of states at the Fermi level, the calculation gives 6.42 states/eV per cell. As for the raw formation energy: -517 meV/atom. Its crystal system is orthorhombic. The total moment comes out at 0.0 μB per cell. Its symmetry is No. 59.

abc: 3.561 5.745 8.168
angles: 90.00 90.00 90.00
Fractional positions:
1 Hf 0.250 0.002 0.152
2 Hf 0.250 0.498 0.152
3 Hf 0.250 0.750 0.579
4 Hf 0.750 0.250 0.421
5 Hf 0.750 0.502 0.848
6 Hf 0.750 0.998 0.848
7 Si 0.250 0.250 0.660
8 Si 0.750 0.750 0.340
9 C 0.250 0.750 0.900
10 C 0.750 0.250 0.100



No. 2
Rb2NpZn3F12: relaxed, PBE.

For the density of states at the Fermi level, the calculation gives 12.30 states/eV per cell. As for the raw formation energy: -2736 meV/atom. Its crystal system is trigonal. The total moment comes out at 3.0 μB per cell. Its symmetry is No. 166.

abc: 7.768 7.768 7.768
angles: 58.19 58.19 58.19
Fractional positions:
1 Rb 0.096 0.096 0.096
2 Rb 0.904 0.904 0.904
3 Np 0.500 0.500 0.500
4 Zn 0.000 0.500 0.500
5 Zn 0.500 0.000 0.500
6 Zn 0.500 0.500 0.000
7 F 0.155 0.589 0.589
8 F 0.192 0.192 0.589
9 F 0.192 0.589 0.192
10 F 0.411 0.411 0.845
11 F 0.411 0.808 0.808
12 F 0.411 0.845 0.411
13 F 0.589 0.155 0.589
14 F 0.589 0.192 0.192
15 F 0.589 0.589 0.155
16 F 0.808 0.411 0.808
17 F 0.808 0.808 0.411
18 F 0.845 0.411 0.411



No. 3
TmNpRh2: relaxed, PBE.

For the density of states at the Fermi level, the calculation gives 25.79 states/eV per cell. Its crystal system is cubic. The total moment comes out at 13.7 μB per cell. The energy relative to the lowest polymorph listed for this composition comes out at 17.2 meV per atom. The calculated formation energy is -0.545 eV per atom. Its symmetry is No. 225.

abc: 6.793 6.793 6.793
angles: 90.00 90.00 90.00
Fractional positions:
1 Tm 0.000 0.000 0.000
2 Tm 0.000 0.500 0.500
3 Tm 0.500 0.000 0.500
4 Tm 0.500 0.500 0.000
5 Np 0.000 0.000 0.500
6 Np 0.000 0.500 0.000
7 Np 0.500 0.000 0.000
8 Np 0.500 0.500 0.500
9 Rh 0.250 0.250 0.250
10 Rh 0.250 0.250 0.750
11 Rh 0.250 0.750 0.250
12 Rh 0.250 0.750 0.750
13 Rh 0.750 0.250 0.250
14 Rh 0.750 0.250 0.750
15 Rh 0.750 0.750 0.250
16 Rh 0.750 0.750 0.750



No. 4
CaMg14Cu: relaxed, PBE.

For the density of states at the Fermi level, the calculation gives 5.05 states/eV per cell. Its crystal system is orthorhombic. The total moment comes out at 0.0 μB per cell. The energy relative to the lowest polymorph listed for this composition comes out at 0.0 meV per atom. The calculated formation energy is 0.013 eV per atom. Its symmetry is No. 38.

abc: 10.369 6.452 6.452
angles: 58.32 90.00 90.00
Fractional positions:
1 Ca 0.000 0.000 0.000
2 Mg 0.000 0.012 0.492
3 Mg 0.000 0.492 0.012
4 Mg 0.222 0.638 0.638
5 Mg 0.250 0.152 0.644
6 Mg 0.250 0.644 0.152
7 Mg 0.261 0.152 0.152
8 Mg 0.500 0.486 0.486
9 Mg 0.500 0.490 0.978
10 Mg 0.500 0.978 0.490
11 Mg 0.500 0.983 0.983
12 Mg 0.739 0.152 0.152
13 Mg 0.750 0.152 0.644
14 Mg 0.750 0.644 0.152
15 Mg 0.778 0.638 0.638
16 Cu 0.000 0.468 0.468



No. 5
TiBiI2O: relaxed, PBE.

For the density of states at the Fermi level, the calculation gives 3.06 states/eV per cell. As for the raw formation energy: -820 meV/atom. Its crystal system is tetragonal. The total moment comes out at 0.9 μB per cell. The energy relative to the lowest polymorph listed for this composition comes out at 0.0 meV per atom. Its symmetry is No. 123.

abc: 5.919 5.919 3.757
angles: 90.00 90.00 90.00
Fractional positions:
1 Ti 0.000 0.000 0.000
2 Bi 0.500 0.500 0.500
3 I 0.000 0.500 0.000
4 I 0.500 0.000 0.000
5 O 0.000 0.000 0.500



No. 6
MnInS3: relaxed, PBE.

For the density of states at the Fermi level, the calculation gives 4.59 states/eV per cell. As for the raw formation energy: 542 meV/atom. Its crystal system is cubic. The total moment comes out at 4.7 μB per cell. The energy relative to the lowest polymorph listed for this composition comes out at 993.4 meV per atom. Its symmetry is No. 221.

abc: 4.962 4.962 4.962
angles: 90.00 90.00 90.00
Fractional positions:
1 Mn 0.000 0.000 0.000
2 In 0.500 0.500 0.500
3 S 0.000 0.500 0.500
4 S 0.500 0.000 0.500
5 S 0.500 0.500 0.000